A relaxed LaU5As6 crystal. Source: Alexandria, functional PBE.

POSCAR file:
```
LaU5As6
1.0
3.5789 -6.2156 0.0000
3.5789 6.2156 0.0000
-2.3990 0.0000 6.7422
La U As
1 5 6
direct
0.0000 0.0000 0.0000
0.1634 0.8366 0.5000
0.3327 0.6673 0.0000
0.5000 0.5000 0.5000
0.6673 0.3327 0.0000
0.8366 0.1634 0.5000
0.0859 0.4284 0.2564
0.2586 0.2586 0.7468
0.4284 0.0859 0.2564
0.5716 0.9141 0.7436
0.7414 0.7414 0.2532
0.9141 0.5716 0.7436
```

Values from the calculation:
M_tot: 12.623 μB per formula unit
formation energy: -80.9 kJ/mol of atoms



A relaxed LaU4As5 crystal. Source: Alexandria, functional PBE.

POSCAR file:
```
LaU4As5
1.0
6.9551 -2.0528 0.0000
6.9551 2.0528 0.0000
-5.0646 0.0000 8.8072
La U As
1 4 5
direct
0.0000 0.0000 0.0000
0.2026 0.2026 0.7962
0.4021 0.4021 0.5999
0.5979 0.5979 0.4001
0.7974 0.7974 0.2038
0.0000 0.0000 0.5000
0.2026 0.2026 0.3087
0.3932 0.3932 0.1057
0.6068 0.6068 0.8943
0.7974 0.7974 0.6913
```

Values from the calculation:
M_tot: 10.061 μB per formula unit
formation energy: -83.7 kJ/mol of atoms



A relaxed LaY2UAs4 crystal. Source: Alexandria, functional PBE.

POSCAR file:
```
LaY2UAs4
1.0
7.2256 0.0000 0.0000
0.0000 4.1634 0.0000
-2.3860 0.0000 6.8405
La Y U As
1 2 1 4
direct
0.0000 0.0000 0.0000
0.5000 0.0000 0.5000
0.5000 0.5000 0.0000
0.0000 0.5000 0.5000
0.2517 0.0000 0.7423
0.2554 0.5000 0.2627
0.7446 0.5000 0.7373
0.7483 0.0000 0.2577
```

Values from the calculation:
M_tot: 2.420 μB per formula unit
formation energy: -128.6 kJ/mol of atoms



A relaxed La2YUAs4 crystal. Source: Alexandria, functional PBE.

POSCAR file:
```
La2YUAs4
1.0
7.3168 0.0000 0.0000
0.0000 4.2192 0.0000
-2.4165 0.0000 6.9509
La Y U As
2 1 1 4
direct
0.0000 0.0000 0.0000
0.5000 0.5000 0.0000
0.0000 0.5000 0.5000
0.5000 0.0000 0.5000
0.2492 0.0000 0.7330
0.2588 0.5000 0.2684
0.7412 0.5000 0.7316
0.7508 0.0000 0.2670
```

Values from the calculation:
M_tot: 2.298 μB per formula unit
formation energy: -129.7 kJ/mol of atoms



A relaxed LaVAs3 crystal. Source: Alexandria, functional PBE.

POSCAR file:
```
LaVAs3
1.0
4.8135 0.0000 0.0000
0.0000 4.8135 0.0000
0.0000 0.0000 4.8135
La V As
1 1 3
direct
0.0000 0.0000 0.0000
0.5000 0.5000 0.5000
0.0000 0.5000 0.5000
0.5000 0.0000 0.5000
0.5000 0.5000 0.0000
```

Values from the calculation:
M_tot: 0.000 μB per formula unit
formation energy: -52.6 kJ/mol of atoms
ΔE to the lowest computed polymorph: 0.271 eV per atom



A relaxed La2VAs2 crystal. Source: Alexandria, functional PBE.

POSCAR file:
```
La2VAs2
1.0
7.6003 0.0000 0.0000
0.0000 7.6003 0.0000
0.0000 0.0000 4.2810
La V As
4 2 4
direct
0.1559 0.3441 0.0000
0.3441 0.8441 0.0000
0.6559 0.1559 0.0000
0.8441 0.6559 0.0000
0.0000 0.0000 0.5000
0.5000 0.5000 0.5000
0.1574 0.6574 0.5000
0.3426 0.1574 0.5000
0.6574 0.8426 0.5000
0.8426 0.3426 0.5000
```

Values from the calculation:
M_tot: 3.091 μB per formula unit
formation energy: -83.8 kJ/mol of atoms
ΔE to the lowest computed polymorph: 0.000 eV per atom



A relaxed La2VAs2 crystal. Source: Alexandria, functional PBE.

POSCAR file:
```
La2VAs2
1.0
8.2719 0.0000 0.0000
0.0000 8.2719 0.0000
0.0000 0.0000 3.8718
La V As
4 2 4
direct
0.1417 0.3583 0.0000
0.3583 0.8583 0.0000
0.6417 0.1417 0.0000
0.8583 0.6417 0.0000
0.0000 0.0000 0.0000
0.5000 0.5000 0.0000
0.1665 0.6665 0.5000
0.3335 0.1665 0.5000
0.6665 0.8335 0.5000
0.8335 0.3335 0.5000
```

Values from the calculation:
M_tot: 4.266 μB per formula unit
formation energy: -37.7 kJ/mol of atoms
ΔE to the lowest computed polymorph: 0.478 eV per atom



A relaxed La2VAs2 crystal. Source: Alexandria, functional PBE.

POSCAR file:
```
La2VAs2
1.0
-1.9408 1.9408 8.8853
1.9408 -1.9408 8.8853
1.9408 1.9408 -8.8853
La V As
2 1 2
direct
0.1101 0.1101 0.0000
0.8899 0.8899 0.0000
0.5000 0.5000 0.0000
0.2500 0.7500 0.5000
0.7500 0.2500 0.5000
```

Values from the calculation:
M_tot: 4.057 μB per formula unit
formation energy: -14.1 kJ/mol of atoms
ΔE to the lowest computed polymorph: 0.722 eV per atom



A relaxed LaVAs3 crystal. Source: Alexandria, functional PBE.

POSCAR file:
```
LaVAs3
1.0
5.5711 0.0000 0.0000
0.0000 5.5711 0.0000
0.0000 0.0000 5.5711
La V As
1 1 3
direct
0.0000 0.0000 0.0000
0.5000 0.5000 0.5000
0.0000 0.0000 0.5000
0.0000 0.5000 0.0000
0.5000 0.0000 0.0000
```

Values from the calculation:
M_tot: 2.636 μB per formula unit
formation energy: 97.6 kJ/mol of atoms
ΔE to the lowest computed polymorph: 1.828 eV per atom



A relaxed LaVAs3 crystal. Source: Alexandria, functional PBE.

POSCAR file:
```
LaVAs3
1.0
12.8321 0.0000 0.0000
0.0000 5.7847 0.0000
0.0000 0.0000 5.6338
La V As
4 4 12
direct
0.1882 0.0027 0.2500
0.1882 0.4973 0.7500
0.8118 0.5027 0.2500
0.8118 0.9973 0.7500
0.4196 0.7500 0.0000
0.4196 0.7500 0.5000
0.5804 0.2500 0.0000
0.5804 0.2500 0.5000
0.0010 0.7500 0.0000
0.0010 0.7500 0.5000
0.2944 0.5075 0.2500
0.2944 0.9925 0.7500
0.4288 0.1108 0.2500
0.4288 0.3892 0.7500
0.5712 0.6108 0.2500
0.5712 0.8892 0.7500
0.7056 0.0075 0.2500
0.7056 0.4925 0.7500
0.9990 0.2500 0.0000
0.9990 0.2500 0.5000
```

Values from the calculation:
M_tot: 0.001 μB per formula unit
formation energy: -78.7 kJ/mol of atoms
ΔE to the lowest computed polymorph: 0.000 eV per atom



A relaxed LaVAsW2 crystal. Source: Alexandria, functional PBE.

POSCAR file:
```
LaVAsW2
1.0
4.7879 0.0000 0.0000
0.0000 4.7879 0.0000
0.0000 0.0000 4.6281
La V As W
1 1 1 2
direct
0.0000 0.0000 0.0000
0.5000 0.5000 0.0000
0.5000 0.5000 0.5000
0.0000 0.5000 0.5000
0.5000 0.0000 0.5000
```

Values from the calculation:
M_tot: 0.002 μB per formula unit
formation energy: 86.9 kJ/mol of atoms



A relaxed La2AsW crystal. Source: Alexandria, functional PBE.

POSCAR file:
```
La2AsW
1.0
2.2022 -2.7255 0.0000
2.2022 2.7255 0.0000
0.0000 0.0000 8.4562
La As W
2 1 1
direct
0.0000 0.0000 0.2469
0.0000 0.0000 0.7531
0.5000 0.5000 0.0000
0.5000 0.5000 0.5000
```

Values from the calculation:
M_tot: 1.014 μB per formula unit
formation energy: 7.3 kJ/mol of atoms



A relaxed La2AsW crystal. Source: Alexandria, functional PBE.

POSCAR file:
```
La2AsW
1.0
4.3763 0.0000 0.0000
0.0000 4.3207 0.0000
-2.1839 0.0000 5.5658
La As W
2 1 1
direct
0.0000 0.0000 0.0000
0.2785 0.5000 0.5590
0.5768 0.5000 0.1537
0.7062 0.0000 0.4149
```

Values from the calculation:
M_tot: 0.000 μB per formula unit
formation energy: -21.7 kJ/mol of atoms



A relaxed La2AsW crystal. Source: Alexandria, functional PBE.

POSCAR file:
```
La2AsW
1.0
3.1827 -4.1350 0.0000
3.1827 4.1350 0.0000
0.0000 0.0000 3.6572
La As W
2 1 1
direct
0.0000 0.5000 0.0000
0.5000 0.0000 0.0000
0.0000 0.0000 0.5000
0.5000 0.5000 0.5000
```

Values from the calculation:
M_tot: 0.304 μB per formula unit
formation energy: 0.5 kJ/mol of atoms



A relaxed La3AsW crystal. Source: Alexandria, functional PBE.

POSCAR file:
```
La3AsW
1.0
5.4653 0.0000 0.0000
0.0000 5.4653 0.0000
0.0000 0.0000 5.4653
La As W
3 1 1
direct
0.0000 0.0000 0.5000
0.0000 0.5000 0.0000
0.5000 0.0000 0.0000
0.5000 0.5000 0.5000
0.0000 0.0000 0.0000
```

Values from the calculation:
M_tot: 0.000 μB per formula unit
formation energy: 13.5 kJ/mol of atoms
ΔE to the lowest computed polymorph: 0.000 eV per atom



A relaxed La2AsW crystal. Source: Alexandria, functional PBE.

POSCAR file:
```
La2AsW
1.0
0.0000 3.5745 3.5745
3.5745 0.0000 3.5745
3.5745 3.5745 0.0000
La As W
2 1 1
direct
0.0000 0.0000 0.0000
0.2500 0.2500 0.2500
0.5000 0.5000 0.5000
0.7500 0.7500 0.7500
```

Values from the calculation:
M_tot: 0.715 μB per formula unit
formation energy: 28.7 kJ/mol of atoms



A relaxed LaAs3W crystal. Source: Alexandria, functional PBE.

POSCAR file:
```
LaAs3W
1.0
4.9334 0.0000 0.0000
0.0000 4.9334 0.0000
0.0000 0.0000 4.9334
La As W
1 3 1
direct
0.0000 0.0000 0.0000
0.0000 0.5000 0.5000
0.5000 0.0000 0.5000
0.5000 0.5000 0.0000
0.5000 0.5000 0.5000
```

Values from the calculation:
M_tot: 0.000 μB per formula unit
formation energy: -22.3 kJ/mol of atoms
ΔE to the lowest computed polymorph: 0.000 eV per atom



A relaxed La2AsW crystal. Source: Alexandria, functional PBE.

POSCAR file:
```
La2AsW
1.0
5.6592 -1.8248 0.0000
5.6592 1.8248 0.0000
-1.3389 0.0000 4.9430
La As W
2 1 1
direct
0.0000 0.0000 0.0000
0.2124 0.2124 0.6297
0.7495 0.7495 0.1360
0.3965 0.3965 0.3852
```

Values from the calculation:
M_tot: 0.000 μB per formula unit
formation energy: -12.9 kJ/mol of atoms



A relaxed La2AsW crystal. Source: Alexandria, functional PBE.

POSCAR file:
```
La2AsW
1.0
1.9128 1.1044 8.7980
-1.9128 1.1044 8.7980
0.0000 -2.2087 8.7980
La As W
2 1 1
direct
0.0000 0.0000 0.0000
0.2062 0.2062 0.2062
0.4638 0.4638 0.4638
0.7525 0.7525 0.7525
```

Values from the calculation:
M_tot: 0.001 μB per formula unit
formation energy: 9.0 kJ/mol of atoms



A relaxed La2AsW crystal. Source: Alexandria, functional PBE.

POSCAR file:
```
La2AsW
1.0
3.8675 0.0000 0.0000
0.0000 3.8675 0.0000
0.0000 0.0000 6.7852
La As W
2 1 1
direct
0.0000 0.0000 0.2397
0.0000 0.0000 0.7603
0.5000 0.5000 0.0000
0.5000 0.5000 0.5000
```

Values from the calculation:
M_tot: 1.818 μB per formula unit
formation energy: 2.4 kJ/mol of atoms